# 1
{
  "formula": "MgSiBIr",
  "functional": "PBE-GGA",
  "state": "optimized geometry",
  "density_g_cm3": 8.484,
  "relative_energy_ev_per_atom": 0.000,
  "magnetic_moment_mub_per_fu": 0.0,
  "e_tot_ev_per_atom": -5.431,
  "cell": [[1.447, 2.796, 2.681], [-2.252, 1.056, 3.304], [1.193, -1.182, 3.779]],
  "species": ["B", "Ir", "Mg", "Si"],
  "frac_coords": [[0.000, 0.000, 0.000], [0.250, 0.250, 0.250], [0.750, 0.750, 0.750], [0.500, 0.500, 0.500]]
}

# 2
{
  "formula": "MgSiBIr",
  "functional": "PBE-GGA",
  "state": "optimized geometry",
  "density_g_cm3": 8.099,
  "relative_energy_ev_per_atom": 0.284,
  "magnetic_moment_mub_per_fu": 0.0,
  "e_tot_ev_per_atom": -5.148,
  "cell": [[1.573, -3.630, -1.407], [-1.479, -3.642, 1.477], [-2.323, -2.479, -2.469]],
  "species": ["B", "Ir", "Mg", "Si"],
  "frac_coords": [[0.500, 0.500, 0.500], [0.000, 0.000, 0.000], [0.750, 0.750, 0.750], [0.250, 0.250, 0.250]]
}

# 3
{
  "formula": "BMoIr2",
  "functional": "PBE-GGA",
  "state": "optimized geometry",
  "density_g_cm3": 15.182,
  "magnetic_moment_mub_per_fu": 0.0,
  "e_tot_ev_per_atom": -8.290,
  "cell": [[3.786, -1.812, 0.569], [1.502, -0.582, 3.917], [0.256, -3.909, 1.611]],
  "species": ["B", "Ir", "Ir", "Mo"],
  "frac_coords": [[0.500, 0.500, 0.500], [0.000, 0.000, 0.000], [0.750, 0.750, 0.750], [0.250, 0.250, 0.250]]
}

# 4
{
  "formula": "BMo2Ir",
  "functional": "PBE-GGA",
  "state": "optimized geometry",
  "density_g_cm3": 12.093,
  "magnetic_moment_mub_per_fu": 0.0,
  "e_tot_ev_per_atom": -8.831,
  "cell": [[0.000, 3.004, 3.004], [3.004, 0.000, 3.004], [3.004, 3.004, 0.000]],
  "species": ["B", "Ir", "Mo", "Mo"],
  "frac_coords": [[0.500, 0.500, 0.500], [0.250, 0.250, 0.250], [0.000, 0.000, 0.000], [0.750, 0.750, 0.750]]
}

# 5
{
  "formula": "NiBMoIr",
  "functional": "PBE-GGA",
  "state": "optimized geometry",
  "density_g_cm3": 11.946,
  "relative_energy_ev_per_atom": 0.276,
  "magnetic_moment_mub_per_fu": 0.0,
  "e_tot_ev_per_atom": -7.601,
  "cell": [[3.568, -1.249, 1.656], [1.931, 2.372, 2.772], [0.145, -1.154, 3.960]],
  "species": ["B", "Ir", "Mo", "Ni"],
  "frac_coords": [[0.000, 0.000, 0.000], [0.500, 0.500, 0.500], [0.250, 0.250, 0.250], [0.750, 0.750, 0.750]]
}

# 6
{
  "formula": "NiBMoIr",
  "functional": "PBE-GGA",
  "state": "optimized geometry",
  "density_g_cm3": 12.647,
  "relative_energy_ev_per_atom": 0.000,
  "magnetic_moment_mub_per_fu": 0.0,
  "e_tot_ev_per_atom": -7.878,
  "cell": [[-0.378, 1.300, 3.817], [-3.453, -0.627, 2.021], [-0.108, -2.666, 3.046]],
  "species": ["B", "Ir", "Mo", "Ni"],
  "frac_coords": [[0.000, 0.000, 0.000], [0.250, 0.250, 0.250], [0.750, 0.750, 0.750], [0.500, 0.500, 0.500]]
}

# 7
{
  "formula": "Pr2NdB2Ir2N3",
  "functional": "PBE-GGA",
  "state": "optimized geometry",
  "density_g_cm3": 9.895,
  "magnetic_moment_mub_per_fu": 0.0,
  "e_tot_ev_per_atom": -8.162,
  "cell": [[9.885, 2.965, 2.188], [6.816, 6.002, 5.367], [-8.214, -6.353, -1.860]],
  "species": ["B", "B", "Ir", "Ir", "N", "N", "N", "Nd", "Pr", "Pr"],
  "frac_coords": [[0.193, 0.193, 0.000], [0.807, 0.807, 0.000], [0.750, 0.250, 0.500], [0.250, 0.750, 0.500], [0.120, 0.120, 0.000], [0.500, 0.500, 0.000], [0.880, 0.880, 0.000], [0.000, 0.000, 0.000], [0.377, 0.377, 0.000], [0.623, 0.623, 0.000]]
}

# 8
{
  "formula": "NdYB2Ir2N2",
  "functional": "PBE-GGA",
  "state": "optimized geometry",
  "density_g_cm3": 10.313,
  "magnetic_moment_mub_per_fu": 0.0,
  "e_tot_ev_per_atom": -8.480,
  "cell": [[-0.784, 2.249, -2.932], [-3.557, 0.351, 1.221], [1.993, 6.009, 4.077]],
  "species": ["B", "B", "Ir", "Ir", "N", "N", "Nd", "Y"],
  "frac_coords": [[0.000, 0.000, 0.346], [0.500, 0.500, 0.652], [0.500, 0.000, 0.502], [0.000, 0.500, 0.502], [0.000, 0.000, 0.146], [0.500, 0.500, 0.850], [0.500, 0.500, 0.165], [0.000, 0.000, 0.837]]
}

# 9
{
  "formula": "Sm2NiB2IrN2",
  "functional": "PBE-GGA",
  "state": "optimized geometry",
  "density_g_cm3": 9.794,
  "magnetic_moment_mub_per_fu": 0.0,
  "e_tot_ev_per_atom": -7.844,
  "cell": [[-2.263, -2.747, -0.822], [2.233, -2.345, 1.690], [-3.763, 1.139, 6.550]],
  "species": ["B", "B", "Ir", "N", "N", "Ni", "Sm", "Sm"],
  "frac_coords": [[0.000, 0.500, 0.155], [0.500, 0.000, 0.845], [0.000, 0.000, 0.000], [0.000, 0.500, 0.349], [0.500, 0.000, 0.651], [0.500, 0.500, 0.000], [0.500, 0.000, 0.335], [0.000, 0.500, 0.665]]
}

# 10
{
  "formula": "Tb2NiB2IrN2",
  "functional": "PBE-GGA",
  "state": "optimized geometry",
  "density_g_cm3": 10.470,
  "magnetic_moment_mub_per_fu": 0.0,
  "e_tot_ev_per_atom": -7.875,
  "cell": [[3.601, 0.000, 0.000], [0.000, 3.601, 0.000], [0.000, 0.000, 7.562]],
  "species": ["B", "B", "Ir", "N", "N", "Ni", "Tb", "Tb"],
  "frac_coords": [[0.000, 0.500, 0.158], [0.500, 0.000, 0.842], [0.000, 0.000, 0.000], [0.000, 0.500, 0.355], [0.500, 0.000, 0.645], [0.500, 0.500, 0.000], [0.500, 0.000, 0.337], [0.000, 0.500, 0.663]]
}

# 11
{
  "formula": "BIrNO",
  "functional": "PBE-GGA",
  "state": "optimized geometry",
  "density_g_cm3": 9.699,
  "relative_energy_ev_per_atom": 0.915,
  "magnetic_moment_mub_per_fu": 0.0,
  "e_tot_ev_per_atom": -6.949,
  "cell": [[1.001, 1.027, 3.220], [-3.380, 0.284, 0.960], [0.037, -6.120, 1.940]],
  "species": ["B", "B", "Ir", "Ir", "N", "N", "O", "O"],
  "frac_coords": [[0.750, 0.750, 0.083], [0.250, 0.250, 0.917], [0.750, 0.250, 0.500], [0.250, 0.750, 0.500], [0.750, 0.750, 0.316], [0.250, 0.250, 0.684], [0.750, 0.250, 0.000], [0.250, 0.750, 0.000]]
}

# 12
{
  "formula": "BIrNO",
  "functional": "PBE-GGA",
  "state": "optimized geometry",
  "density_g_cm3": 9.042,
  "relative_energy_ev_per_atom": 0.404,
  "magnetic_moment_mub_per_fu": 0.0,
  "e_tot_ev_per_atom": -7.460,
  "cell": [[4.799, 0.000, 0.000], [0.000, 5.593, 0.000], [0.000, 0.000, 6.378]],
  "species": ["B", "B", "B", "B", "Ir", "Ir", "Ir", "Ir", "N", "N", "N", "N", "O", "O", "O", "O"],
  "frac_coords": [[0.050, 0.139, 0.494], [0.550, 0.361, 0.494], [0.050, 0.639, 0.506], [0.550, 0.861, 0.506], [0.051, 0.635, 0.012], [0.551, 0.865, 0.012], [0.051, 0.135, 0.988], [0.551, 0.365, 0.988], [0.051, 0.635, 0.299], [0.551, 0.865, 0.299], [0.051, 0.135, 0.701], [0.551, 0.365, 0.701], [0.050, 0.138, 0.297], [0.550, 0.362, 0.297], [0.050, 0.638, 0.703], [0.550, 0.862, 0.703]]
}

# 13
{
  "formula": "BIrNO",
  "functional": "PBE-GGA",
  "state": "optimized geometry",
  "density_g_cm3": 10.986,
  "relative_energy_ev_per_atom": 0.000,
  "magnetic_moment_mub_per_fu": 0.0,
  "e_tot_ev_per_atom": -7.864,
  "cell": [[1.312, 2.283, 0.243], [-0.915, 0.046, 4.513], [4.890, -2.919, 1.021]],
  "species": ["B", "B", "Ir", "Ir", "N", "N", "O", "O"],
  "frac_coords": [[0.500, 0.994, 0.123], [0.500, 0.494, 0.877], [0.000, 0.521, 0.410], [0.000, 0.021, 0.590], [0.000, 0.919, 0.255], [0.000, 0.419, 0.745], [0.500, 0.320, 0.089], [0.500, 0.820, 0.911]]
}

# 14
{
  "formula": "BIrNO",
  "functional": "PBE-GGA",
  "state": "optimized geometry",
  "density_g_cm3": 10.926,
  "relative_energy_ev_per_atom": 0.165,
  "magnetic_moment_mub_per_fu": 0.0,
  "e_tot_ev_per_atom": -7.700,
  "cell": [[1.992, 1.497, -0.807], [1.424, 0.618, 4.661], [3.198, -4.464, -0.385]],
  "species": ["B", "B", "Ir", "Ir", "N", "N", "O", "O"],
  "frac_coords": [[0.000, 0.535, 0.413], [0.000, 0.035, 0.587], [0.500, 0.921, 0.071], [0.500, 0.421, 0.929], [0.000, 0.864, 0.351], [0.000, 0.364, 0.649], [0.500, 0.435, 0.304], [0.500, 0.935, 0.696]]
}

# 15
{
  "formula": "BIrNO",
  "functional": "PBE-GGA",
  "state": "optimized geometry",
  "density_g_cm3": 9.786,
  "relative_energy_ev_per_atom": 1.343,
  "magnetic_moment_mub_per_fu": 0.0,
  "e_tot_ev_per_atom": -6.522,
  "cell": [[2.277, -2.277, 0.000], [2.277, 2.277, 0.000], [0.000, 0.000, 7.629]],
  "species": ["B", "B", "Ir", "Ir", "N", "N", "O", "O"],
  "frac_coords": [[0.750, 0.250, 0.500], [0.250, 0.750, 0.500], [0.250, 0.250, 0.179], [0.750, 0.750, 0.821], [0.250, 0.250, 0.453], [0.750, 0.750, 0.547], [0.750, 0.250, 0.000], [0.250, 0.750, 0.000]]
}

# 16
{
  "formula": "PrSmB2Ir2N2",
  "functional": "PBE-GGA",
  "state": "optimized geometry",
  "density_g_cm3": 10.936,
  "magnetic_moment_mub_per_fu": 0.0,
  "e_tot_ev_per_atom": -8.244,
  "cell": [[-1.541, -1.287, -3.238], [1.897, -3.279, 0.401], [-5.822, -2.888, 3.918]],
  "species": ["B", "B", "Ir", "Ir", "N", "N", "Pr", "Sm"],
  "frac_coords": [[0.500, 0.500, 0.349], [0.000, 0.000, 0.650], [0.500, 0.000, 0.501], [0.000, 0.500, 0.501], [0.500, 0.500, 0.151], [0.000, 0.000, 0.847], [0.000, 0.000, 0.167], [0.500, 0.500, 0.834]]
}

# 17
{
  "formula": "TbSmB2Ir2N2",
  "functional": "PBE-GGA",
  "state": "optimized geometry",
  "density_g_cm3": 11.602,
  "magnetic_moment_mub_per_fu": 0.0,
  "e_tot_ev_per_atom": -8.269,
  "cell": [[-3.759, -0.198, 0.008], [0.164, -3.020, 2.241], [-0.223, 4.465, 6.033]],
  "species": ["B", "B", "Ir", "Ir", "N", "N", "Sm", "Tb"],
  "frac_coords": [[0.000, 0.000, 0.345], [0.500, 0.500, 0.654], [0.500, 0.000, 0.501], [0.000, 0.500, 0.501], [0.000, 0.000, 0.145], [0.500, 0.500, 0.852], [0.500, 0.500, 0.164], [0.000, 0.000, 0.837]]
}

# 18
{
  "formula": "TbYB2Ir2N2",
  "functional": "PBE-GGA",
  "state": "optimized geometry",
  "density_g_cm3": 10.806,
  "magnetic_moment_mub_per_fu": 0.0,
  "e_tot_ev_per_atom": -8.502,
  "cell": [[3.747, 0.000, 0.000], [0.000, 3.747, 0.000], [0.000, 0.000, 7.462]],
  "species": ["B", "B", "Ir", "Ir", "N", "N", "Tb", "Y"],
  "frac_coords": [[0.500, 0.500, 0.344], [0.000, 0.000, 0.656], [0.500, 0.000, 0.500], [0.000, 0.500, 0.500], [0.500, 0.500, 0.143], [0.000, 0.000, 0.856], [0.000, 0.000, 0.163], [0.500, 0.500, 0.838]]
}

# 19
{
  "formula": "NaB4Ir",
  "functional": "PBE-GGA",
  "state": "optimized geometry",
  "density_g_cm3": 7.107,
  "relative_energy_ev_per_atom": 0.000,
  "magnetic_moment_mub_per_fu": 0.0,
  "e_tot_ev_per_atom": -5.907,
  "cell": [[-2.301, -1.984, -0.247], [2.836, -0.859, -0.713], [1.122, -2.184, 7.092]],
  "species": ["B", "B", "B", "B", "Ir", "Na"],
  "frac_coords": [[0.667, 0.333, 0.281], [0.333, 0.667, 0.281], [0.667, 0.333, 0.719], [0.333, 0.667, 0.719], [0.000, 0.000, 0.500], [0.000, 0.000, 0.000]]
}

# 20
{
  "formula": "NaB4Ir",
  "functional": "PBE-GGA",
  "state": "optimized geometry",
  "density_g_cm3": 7.828,
  "relative_energy_ev_per_atom": 0.014,
  "magnetic_moment_mub_per_fu": 0.0,
  "e_tot_ev_per_atom": -5.892,
  "cell": [[3.369, -2.908, 0.948], [2.878, 3.107, 1.662], [-4.012, -1.918, 0.962]],
  "species": ["B", "B", "B", "B", "Ir", "Na"],
  "frac_coords": [[0.585, 0.244, 0.341], [0.097, 0.756, 0.341], [0.903, 0.244, 0.659], [0.415, 0.756, 0.659], [0.000, 0.000, 0.000], [0.500, 0.500, 0.000]]
}

# 21
{
  "formula": "NaNbBIr",
  "functional": "PBE-GGA",
  "state": "optimized geometry",
  "density_g_cm3": 9.104,
  "relative_energy_ev_per_atom": 0.147,
  "magnetic_moment_mub_per_fu": 0.0,
  "e_tot_ev_per_atom": -6.174,
  "cell": [[-2.356, -3.631, -0.430], [-4.298, 0.256, -0.617], [-1.708, -1.039, -3.862]],
  "species": ["B", "Ir", "Na", "Nb"],
  "frac_coords": [[0.500, 0.500, 0.500], [0.000, 0.000, 0.000], [0.750, 0.750, 0.750], [0.250, 0.250, 0.250]]
}

# 22
{
  "formula": "NaNbBIr",
  "functional": "PBE-GGA",
  "state": "optimized geometry",
  "density_g_cm3": 9.570,
  "relative_energy_ev_per_atom": 0.000,
  "magnetic_moment_mub_per_fu": 0.0,
  "e_tot_ev_per_atom": -6.321,
  "cell": [[1.537, -3.989, 0.144], [-2.605, -3.263, 0.929], [-1.069, -2.815, -3.038]],
  "species": ["B", "Ir", "Na", "Nb"],
  "frac_coords": [[0.000, 0.000, 0.000], [0.250, 0.250, 0.250], [0.750, 0.750, 0.750], [0.500, 0.500, 0.500]]
}

# 23
{
  "formula": "NbBIr2",
  "functional": "PBE-GGA",
  "state": "optimized geometry",
  "density_g_cm3": 14.431,
  "magnetic_moment_mub_per_fu": 0.1,
  "e_tot_ev_per_atom": -8.228,
  "cell": [[-2.777, -3.017, -1.291], [-4.084, 0.125, 1.337], [-3.136, 1.007, -2.762]],
  "species": ["B", "Ir", "Ir", "Nb"],
  "frac_coords": [[0.500, 0.500, 0.500], [0.000, 0.000, 0.000], [0.750, 0.750, 0.750], [0.250, 0.250, 0.250]]
}

# 24
{
  "formula": "NbB4Ir",
  "functional": "PBE-GGA",
  "state": "optimized geometry",
  "density_g_cm3": 9.696,
  "relative_energy_ev_per_atom": 0.027,
  "magnetic_moment_mub_per_fu": 0.0,
  "e_tot_ev_per_atom": -7.710,
  "cell": [[4.596, -0.873, 0.014], [0.436, -2.363, 4.014], [-1.943, -0.271, -4.247]],
  "species": ["B", "B", "B", "B", "Ir", "Nb"],
  "frac_coords": [[0.560, 0.238, 0.322], [0.085, 0.762, 0.322], [0.915, 0.238, 0.678], [0.440, 0.762, 0.678], [0.000, 0.000, 0.000], [0.500, 0.500, 0.000]]
}

# 25
{
  "formula": "NbB4Ir",
  "functional": "PBE-GGA",
  "state": "optimized geometry",
  "density_g_cm3": 9.871,
  "relative_energy_ev_per_atom": 0.000,
  "magnetic_moment_mub_per_fu": 0.0,
  "e_tot_ev_per_atom": -7.737,
  "cell": [[-0.748, -2.936, 0.712], [2.931, 0.719, -0.761], [1.352, 1.192, 6.334]],
  "species": ["B", "B", "B", "B", "Ir", "Nb"],
  "frac_coords": [[0.667, 0.333, 0.246], [0.333, 0.667, 0.246], [0.667, 0.333, 0.754], [0.333, 0.667, 0.754], [0.000, 0.000, 0.000], [0.000, 0.000, 0.500]]
}

# 26
{
  "formula": "NbBIr",
  "functional": "PBE-GGA",
  "state": "optimized geometry",
  "density_g_cm3": 10.401,
  "magnetic_moment_mub_per_fu": 0.0,
  "e_tot_ev_per_atom": -8.276,
  "cell": [[1.056, 2.447, 3.060], [-1.321, 3.836, 0.078], [-2.770, 1.137, 2.738]],
  "species": ["B", "Ir", "Nb"],
  "frac_coords": [[0.250, 0.250, 0.250], [0.000, 0.000, 0.000], [0.750, 0.750, 0.750]]
}

# 27
{
  "formula": "NbB2Ir2",
  "functional": "PBE-GGA",
  "state": "optimized geometry",
  "density_g_cm3": 13.662,
  "magnetic_moment_mub_per_fu": 0.0,
  "e_tot_ev_per_atom": -8.587,
  "cell": [[2.717, -1.585, 3.979], [1.377, 3.505, 3.397], [-4.281, -1.394, -2.335]],
  "species": ["B", "B", "Ir", "Ir", "Nb"],
  "frac_coords": [[0.395, 0.395, 0.000], [0.605, 0.605, 0.000], [0.750, 0.250, 0.500], [0.250, 0.750, 0.500], [0.000, 0.000, 0.000]]
}